[1]
Material: Mn2TcW
Method: DFT, PBE
State: relaxed

abc: 3.157 4.214 8.215
angles: 90.00 90.00 90.00
Space group Immm (No. 71)
Symmetry-distinct sites (fractional):
Mn 0.000 0.000 0.249 [4 per cell]
Tc 0.000 0.500 0.000 [2 per cell]
W 0.000 0.500 0.500 [2 per cell]

The density of states at the Fermi level is 7.68 states/eV per cell. For the offset from the most stable computed form, the calculation gives 0.032 eV per atom. For the calculated volume, the calculation gives 13.662 A^3/atom. The crystal system is orthorhombic. As for the magnetization: 7.16 Bohr magnetons per cell. The value obtained for the formation energy from the elements is 0.0985 eV/atom.


[2]
Material: MnZnTcW
Method: DFT, PBE
State: relaxed

abc: 6.092 6.092 6.092
angles: 90.00 90.00 90.00
Space group F-43m (No. 216)
Symmetry-distinct sites (fractional):
Mn 0.000 0.000 0.000 [4 per cell]
Zn 0.250 0.250 0.750 [4 per cell]
Tc 0.000 0.000 0.500 [4 per cell]
W 0.250 0.250 0.250 [4 per cell]

The density of states at the Fermi level is 12.41 states/eV per cell. For the calculated volume, the calculation gives 14.131 A^3/atom. The crystal system is cubic. As for the magnetization: 7.65 Bohr magnetons per cell. The value obtained for the formation energy from the elements is 0.0833 eV/atom.


[3]
Material: ZrMnTcW
Method: DFT, PBE
State: relaxed

abc: 6.295 6.295 6.295
angles: 90.00 90.00 90.00
Space group F-43m (No. 216)
Symmetry-distinct sites (fractional):
Zr 0.000 0.000 0.000 [4 per cell]
Mn 0.250 0.250 0.250 [4 per cell]
Tc 0.250 0.250 0.750 [4 per cell]
W 0.000 0.000 0.500 [4 per cell]

The density of states at the Fermi level is 4.91 states/eV per cell. For the calculated volume, the calculation gives 15.593 A^3/atom. The crystal system is cubic. As for the magnetization: 0.00 Bohr magnetons per cell. The value obtained for the formation energy from the elements is -0.1180 eV/atom.


[4]
Material: YMnTc4
Method: DFT, PBE
State: relaxed

abc: 7.450 7.450 7.450
angles: 90.00 90.00 90.00
Space group F-43m (No. 216)
Symmetry-distinct sites (fractional):
Y 0.000 0.000 0.000 [4 per cell]
Mn 0.250 0.250 0.750 [4 per cell]
Tc 0.124 0.124 0.376 [16 per cell]

The density of states at the Fermi level is 27.06 states/eV per cell. For the calculated volume, the calculation gives 17.232 A^3/atom. The crystal system is cubic. As for the magnetization: 14.97 Bohr magnetons per cell. The value obtained for the formation energy from the elements is 0.1407 eV/atom.


[5]
Material: Y2MnTc
Method: DFT, PBE
State: relaxed

abc: 3.119 3.119 8.625
angles: 90.00 90.00 90.00
Space group P4mm (No. 99)
Symmetry-distinct sites (fractional):
Y 0.000 0.000 0.000 [1 per cell]
Y 0.500 0.500 0.380 [1 per cell]
Mn 0.000 0.000 0.616 [1 per cell]
Tc 0.500 0.500 0.754 [1 per cell]

The density of states at the Fermi level is 5.45 states/eV per cell. For the offset from the most stable computed form, the calculation gives 0.114 eV per atom. For the calculated volume, the calculation gives 20.980 A^3/atom. The crystal system is tetragonal. As for the magnetization: 0.01 Bohr magnetons per cell. The value obtained for the formation energy from the elements is 0.1480 eV/atom.


[6]
Material: YMn4Tc
Method: DFT, PBE
State: relaxed

abc: 6.949 6.949 6.949
angles: 90.00 90.00 90.00
Space group F-43m (No. 216)
Symmetry-distinct sites (fractional):
Y 0.000 0.000 0.000 [4 per cell]
Mn 0.124 0.124 0.624 [16 per cell]
Tc 0.250 0.250 0.250 [4 per cell]

The density of states at the Fermi level is 33.87 states/eV per cell. For the calculated volume, the calculation gives 13.981 A^3/atom. The crystal system is cubic. As for the magnetization: 15.24 Bohr magnetons per cell. The value obtained for the formation energy from the elements is 0.1890 eV/atom.


[7]
Material: YMnTc3
Method: DFT, PBE
State: relaxed

abc: 4.704 4.704 4.704
angles: 90.00 90.00 90.00
Space group Pm-3m (No. 221)
Symmetry-distinct sites (fractional):
Y 0.000 0.000 0.000 [1 per cell]
Mn 0.500 0.500 0.500 [1 per cell]
Tc 0.000 0.000 0.500 [3 per cell]

The density of states at the Fermi level is 8.17 states/eV per cell. For the offset from the most stable computed form, the calculation gives 2.238 eV per atom. For the calculated volume, the calculation gives 20.816 A^3/atom. The crystal system is cubic. As for the magnetization: 0.34 Bohr magnetons per cell. The value obtained for the formation energy from the elements is 2.8300 eV/atom.


[8]
Material: YMnTc
Method: DFT, PBE
State: relaxed

abc: 4.020 14.043 4.274
angles: 90.00 90.00 90.00
Space group Cmcm (No. 63)
Symmetry-distinct sites (fractional):
Y 0.000 0.095 0.250 [4 per cell]
Mn 0.000 0.251 0.750 [4 per cell]
Tc 0.000 0.335 0.250 [4 per cell]

The density of states at the Fermi level is 16.92 states/eV per cell. For the offset from the most stable computed form, the calculation gives 0.281 eV per atom. For the calculated volume, the calculation gives 20.107 A^3/atom. The crystal system is orthorhombic. As for the magnetization: 2.46 Bohr magnetons per cell. The value obtained for the formation energy from the elements is 0.2243 eV/atom.


Q: Which value of formation energy from the elements does entry 1 give?
A: 0.0985 eV/atom